Entry 1:
First-principles (PBE) data for a relaxed structure of NaCd3Ga, as listed in Alexandria via LeMat-Bulk.

Unit cell a=5.415 b=5.415 c=5.011 alpha=64.15 beta=64.15 gamma=81.03
Atoms (fractional coordinates):
Cd1 0.903 0.903 0.001
Cd2 0.891 0.301 0.307
Cd3 0.301 0.891 0.307
Na1 0.595 0.595 0.804
Ga1 0.311 0.311 0.580

Raw total energy ... -1.445 eV per atom
Excess energy over the best structure of this formula in the dataset ... 3.4 kJ/mol of atoms
E_form ... -0.027 eV per atom



Entry 2:
First-principles (PBE) data for a relaxed structure of Na12Cd3Ga, as listed in Alexandria via LeMat-Bulk.

Unit cell a=4.880 b=4.880 c=19.722 alpha=90.00 beta=90.00 gamma=90.00
Atoms (fractional coordinates):
Na1 0.500 0.500 0.500
Na2 0.500 0.000 0.373
Na3 0.500 0.500 0.000
Na4 0.500 0.000 0.120
Na5 0.500 0.000 0.627
Na6 0.500 0.000 0.880
Na7 0.000 0.500 0.120
Na8 0.500 0.500 0.753
Na9 0.500 0.500 0.247
Na10 0.000 0.500 0.880
Na11 0.000 0.500 0.627
Na12 0.000 0.500 0.373
Cd1 0.000 0.000 0.755
Cd2 0.000 0.000 0.500
Cd3 0.000 0.000 0.245
Ga1 0.000 0.000 0.000

Raw total energy ... -1.369 eV per atom
E_form ... -0.019 eV per atom



Computed values of V (unit: A^3/atom) for the preceding records, in sequence: 23.8 29.4.